A plane-wave DFT calculation with PBE was carried out for an optimized crystal structure of SrErCuTeS2. Values from VASP.

```
&SYSTEM
  ibrav = 0, nat = 12, ntyp = 5
/
ATOMIC_SPECIES
Cu 63.55 Cu.upf
Er 167.26 Er.upf
S 32.06 S.upf
Sr 87.62 Sr.upf
Te 127.60 Te.upf
CELL_PARAMETERS angstrom
1.9992 -7.0833 0.0000
1.9992 7.0833 0.0000
0.0000 0.0000 10.8333
ATOMIC_POSITIONS crystal
Cu 0.5204 0.4796 0.2500
Cu 0.4796 0.5204 0.7500
Er 0.0000 0.0000 0.0000
Er 0.0000 0.0000 0.5000
S 0.6185 0.3815 0.0775
S 0.6185 0.3815 0.4225
S 0.3815 0.6185 0.5775
S 0.3815 0.6185 0.9225
Sr 0.2122 0.7878 0.2500
Sr 0.7878 0.2122 0.7500
Te 0.8995 0.1005 0.2500
Te 0.1005 0.8995 0.7500
```

The value obtained for the size of the total moment is 0.01 Bohr magnetons per cell. For the total energy, the calculation gives -0.37128 Ry/atom.

A plane-wave DFT calculation with PBE was carried out for an optimized crystal structure of SrErCuTe2S. Values from VASP.

```
&SYSTEM
  ibrav = 0, nat = 12, ntyp = 5
/
ATOMIC_SPECIES
Cu 63.55 Cu.upf
Er 167.26 Er.upf
S 32.06 S.upf
Sr 87.62 Sr.upf
Te 127.60 Te.upf
CELL_PARAMETERS angstrom
-0.5889 5.1602 -5.4368
-2.8244 -6.1628 3.2521
-5.7911 5.9803 6.3033
ATOMIC_POSITIONS crystal
Cu 0.0201 0.9799 0.2500
Cu 0.9799 0.0201 0.7500
Er 0.5000 0.5000 0.0000
Er 0.5000 0.5000 0.5000
S 0.4357 0.5643 0.2500
S 0.5643 0.4357 0.7500
Sr 0.7789 0.2211 0.2500
Sr 0.2211 0.7789 0.7500
Te 0.1452 0.8548 0.0642
Te 0.1452 0.8548 0.4358
Te 0.8548 0.1452 0.5642
Te 0.8548 0.1452 0.9358
```

The value obtained for the size of the total moment is 0.00 Bohr magnetons per cell. For the total energy, the calculation gives -0.34821 Ry/atom.

A plane-wave DFT calculation with PBE was carried out for an optimized crystal structure of Er3Cu3Sb4. Values from VASP.

```
&SYSTEM
  ibrav = 0, nat = 20, ntyp = 3
/
ATOMIC_SPECIES
Cu 63.55 Cu.upf
Er 167.26 Er.upf
Sb 121.76 Sb.upf
CELL_PARAMETERS angstrom
5.7977 -5.7545 -1.1873
-2.6889 -0.3706 7.7954
-6.3069 -1.3442 -5.1529
ATOMIC_POSITIONS crystal
Cu 0.8750 0.2500 0.1250
Cu 0.1250 0.8750 0.2500
Cu 0.6250 0.7500 0.3750
Cu 0.7500 0.3750 0.6250
Cu 0.3750 0.6250 0.7500
Cu 0.2500 0.1250 0.8750
Er 0.7500 0.8750 0.1250
Er 0.6250 0.3750 0.2500
Er 0.2500 0.6250 0.3750
Er 0.3750 0.2500 0.6250
Er 0.8750 0.1250 0.7500
Er 0.1250 0.7500 0.8750
Sb 0.3396 0.5000 0.0000
Sb 0.8396 0.5000 0.0000
Sb 0.1604 0.1604 0.1604
Sb 0.5000 0.0000 0.3396
Sb 0.0000 0.3396 0.5000
Sb 0.0000 0.8396 0.5000
Sb 0.6604 0.6604 0.6604
Sb 0.5000 0.0000 0.8396
```

The value obtained for the size of the total moment is 0.00 Bohr magnetons per cell. For the total energy, the calculation gives -0.35504 Ry/atom.

A plane-wave DFT calculation with PBE was carried out for an optimized crystal structure of ErScCu. Values from VASP.

```
&SYSTEM
  ibrav = 0, nat = 3, ntyp = 3
/
ATOMIC_SPECIES
Cu 63.55 Cu.upf
Er 167.26 Er.upf
Sc 44.96 Sc.upf
CELL_PARAMETERS angstrom
3.7033 -2.6738 0.8440
0.2381 -4.2741 -1.8031
3.0246 -0.9198 -3.4032
ATOMIC_POSITIONS crystal
Cu 0.0000 0.0000 0.0000
Er 0.2500 0.2500 0.2500
Sc 0.7500 0.7500 0.7500
```

The formation energy is 58 meV per atom. The value obtained for the size of the total moment is 0.01 Bohr magnetons per cell. For the total energy, the calculation gives -0.35367 Ry/atom. The energy above the most stable polymorph in this dataset comes out at 0.000 eV/atom.

A plane-wave DFT calculation with PBE was carried out for an optimized crystal structure of Er2ScCu2. Values from VASP.

```
&SYSTEM
  ibrav = 0, nat = 5, ntyp = 3
/
ATOMIC_SPECIES
Cu 63.55 Cu.upf
Er 167.26 Er.upf
Sc 44.96 Sc.upf
CELL_PARAMETERS angstrom
-0.4076 -0.9368 4.4707
2.7157 -2.5805 -2.6452
4.6594 3.6781 1.1955
ATOMIC_POSITIONS crystal
Cu 0.3333 0.6667 0.1324
Cu 0.6667 0.3333 0.8676
Er 0.6667 0.3333 0.3311
Er 0.3333 0.6667 0.6689
Sc 0.0000 0.0000 0.0000
```

The formation energy is -95 meV per atom. The value obtained for the size of the total moment is 0.01 Bohr magnetons per cell. For the total energy, the calculation gives -0.34344 Ry/atom.

A plane-wave DFT calculation with PBE was carried out for an optimized crystal structure of ErScCu6. Values from VASP.

```
&SYSTEM
  ibrav = 0, nat = 8, ntyp = 3
/
ATOMIC_SPECIES
Cu 63.55 Cu.upf
Er 167.26 Er.upf
Sc 44.96 Sc.upf
CELL_PARAMETERS angstrom
4.4295 0.0000 0.0000
0.0000 5.6354 0.0000
0.0000 0.0000 4.7590
ATOMIC_POSITIONS crystal
Cu 0.5000 0.0000 0.2280
Cu 0.0000 0.2682 0.3432
Cu 0.0000 0.7318 0.3432
Cu 0.5000 0.2686 0.6457
Cu 0.5000 0.7314 0.6457
Cu 0.0000 0.5000 0.8060
Er 0.0000 0.0000 0.8475
Sc 0.5000 0.5000 0.1407
```

The formation energy is -186 meV per atom. The value obtained for the size of the total moment is 0.01 Bohr magnetons per cell. For the total energy, the calculation gives -0.31866 Ry/atom.

Copy entry 4 word for word.
A plane-wave DFT calculation with PBE was carried out for an optimized crystal structure of ErScCu. Values from VASP.

```
&SYSTEM
  ibrav = 0, nat = 3, ntyp = 3
/
ATOMIC_SPECIES
Cu 63.55 Cu.upf
Er 167.26 Er.upf
Sc 44.96 Sc.upf
CELL_PARAMETERS angstrom
3.7033 -2.6738 0.8440
0.2381 -4.2741 -1.8031
3.0246 -0.9198 -3.4032
ATOMIC_POSITIONS crystal
Cu 0.0000 0.0000 0.0000
Er 0.2500 0.2500 0.2500
Sc 0.7500 0.7500 0.7500
```

The formation energy is 58 meV per atom. The value obtained for the size of the total moment is 0.01 Bohr magnetons per cell. For the total energy, the calculation gives -0.35367 Ry/atom. The energy above the most stable polymorph in this dataset comes out at 0.000 eV/atom.